# 1
# HoIn6Se8, relaxed, DFT GGA-PBE
# DOS(E_F) (states/eV/cell): 21.56
data_HoIn6Se8
_symmetry_space_group_name_H-M 'R -3'
_symmetry_Int_Tables_number 148
_symmetry_space_group_name_Hall '-R 3'
_cell_length_a 10.5381
_cell_length_b 10.5381
_cell_length_c 13.4056
_cell_angle_alpha 90.00
_cell_angle_beta 90.00
_cell_angle_gamma 120.00
loop_
_atom_site_label
_atom_site_type_symbol
_atom_site_fract_x
_atom_site_fract_y
_atom_site_fract_z
Ho1 Ho 0.0000 0.0000 0.0000
In1 In 0.0131 0.7539 0.3695
Se1 Se 0.0000 0.0000 0.3280
Se2 Se 0.0638 0.2636 0.1076

***

# 2
# Ho7InSe5, relaxed, DFT GGA-PBE
# DOS(E_F) (states/eV/cell): 30.72
data_Ho7InSe5
_symmetry_space_group_name_H-M 'C m c m'
_symmetry_Int_Tables_number 63
_symmetry_space_group_name_Hall '-C 2c 2'
_cell_length_a 4.033
_cell_length_b 13.435
_cell_length_c 24.157
_cell_angle_alpha 90.00
_cell_angle_beta 90.00
_cell_angle_gamma 90.00
loop_
_atom_site_label
_atom_site_type_symbol
_atom_site_fract_x
_atom_site_fract_y
_atom_site_fract_z
Ho1 Ho 0.000 0.017 0.250
Ho2 Ho 0.000 0.139 0.535
Ho3 Ho 0.000 0.318 0.177
Ho4 Ho 0.000 0.404 0.616
In1 In 0.000 0.308 0.750
Se1 Se 0.000 0.048 0.640
Se2 Se 0.000 0.225 0.072
Se3 Se 0.000 0.500 0.000

***

# 3
DFT (GGA-PBE) results for an optimized crystal structure of Ho3InSe6.

```
data_Ho3InSe6
_symmetry_space_group_name_H-M 'C m c 21'
_symmetry_Int_Tables_number 36
_cell_length_a 11.197
_cell_length_b 13.988
_cell_length_c 6.878
_cell_angle_alpha 90.00
_cell_angle_beta 90.00
_cell_angle_gamma 90.00
loop_
_symmetry_equiv_pos_as_xyz
'x,y,z'
'-x,-y,z+1/2'
'-x,y,z'
'x,-y,z+1/2'
'x+1/2,y+1/2,z'
'-x+1/2,-y+1/2,z+1/2'
'-x+1/2,y+1/2,z'
'x+1/2,-y+1/2,z+1/2'
loop_
_atom_site_label
_atom_site_type_symbol
_atom_site_fract_x
_atom_site_fract_y
_atom_site_fract_z
Ho1 Ho 0.000 0.094 0.000
Ho2 Ho 0.185 0.403 0.902
In1 In 0.000 0.297 0.377
Se1 Se 0.000 0.279 0.751
Se2 Se 0.000 0.467 0.206
Se3 Se 0.163 0.035 0.704
Se4 Se 0.175 0.226 0.168
```

***

# 4
# Ho6InSe3, relaxed, DFT GGA-PBE
# DOS(E_F) (states/eV/cell): 14.22
data_Ho6InSe3
_symmetry_space_group_name_H-M 'P 1 21/m 1'
_symmetry_Int_Tables_number 11
_cell_length_a 11.857
_cell_length_b 3.900
_cell_length_c 12.059
_cell_angle_alpha 90.00
_cell_angle_beta 107.23
_cell_angle_gamma 90.00
loop_
_symmetry_equiv_pos_as_xyz
'x,y,z'
'-x,-y,-z'
'-x,y+1/2,-z'
'x,-y+1/2,z'
loop_
_atom_site_label
_atom_site_type_symbol
_atom_site_fract_x
_atom_site_fract_y
_atom_site_fract_z
Ho1 Ho 0.000 0.250 0.145
Ho2 Ho 0.118 0.750 0.427
Ho3 Ho 0.224 0.250 0.764
Ho4 Ho 0.298 0.250 0.247
Ho5 Ho 0.365 0.750 0.026
Ho6 Ho 0.419 0.250 0.593
In1 In 0.450 0.750 0.805
Se1 Se 0.063 0.750 0.644
Se2 Se 0.165 0.250 0.993
Se3 Se 0.353 0.750 0.422

***

# 5
# Ho2InSe, relaxed, DFT GGA-PBE
# Energy above the lowest structure with this stoichiometry (kJ/mol of formula units): 66.9
# DOS(E_F) (states/eV/cell): 2.82
data_Ho2InSe
_symmetry_space_group_name_H-M 'P 4/m m m'
_symmetry_Int_Tables_number 123
_symmetry_space_group_name_Hall '-P 4 2'
_cell_length_a 3.486
_cell_length_b 3.486
_cell_length_c 8.026
_cell_angle_alpha 90.00
_cell_angle_beta 90.00
_cell_angle_gamma 90.00
loop_
_atom_site_label
_atom_site_type_symbol
_atom_site_fract_x
_atom_site_fract_y
_atom_site_fract_z
Ho1 Ho 0.000 0.000 0.228
In1 In 0.500 0.500 0.500
Se1 Se 0.500 0.500 0.000

***

# 6
DFT (GGA-PBE) results for an optimized crystal structure of HoInSe2.

```
data_HoInSe2
_symmetry_space_group_name_H-M 'R 3 m'
_symmetry_Int_Tables_number 160
_symmetry_space_group_name_Hall 'R 3 -2"'
_cell_length_a 4.1128
_cell_length_b 4.1128
_cell_length_c 23.6010
_cell_angle_alpha 90.00
_cell_angle_beta 90.00
_cell_angle_gamma 120.00
loop_
_atom_site_label
_atom_site_type_symbol
_atom_site_fract_x
_atom_site_fract_y
_atom_site_fract_z
Ho1 Ho 0.0000 0.0000 0.0000
In1 In 0.0000 0.0000 0.8310
Se1 Se 0.0000 0.0000 0.4022
Se2 Se 0.0000 0.0000 0.5987
```

***

Size of the total moment (computed, μB per cell): 0.0 0.0 0.0 1.1 0.0 0.0
E_form (uncorrected) (computed, eV per atom): -0.587 -1.419 -1.511 -1.060 -0.913 -1.282